Entry 1:
DFT (GGA-PBE) results for a relaxed structure of OsCCl2.

Structure (POSCAR):
```
OsCCl2
1.0
4.1568 -4.8671 7.0674
6.4562 -3.7258 5.9456
4.9511 -2.2883 7.8208
Cl C Os
2 1 1
direct
0.9433 0.9433 0.9433
0.0567 0.0567 0.0567
0.0000 0.0000 0.0000
0.5000 0.5000 0.5000
```

Output
- symmetry = No. 166
- energy relative to the elements, uncorrected (kJ per mole of atoms) = 180.5
- crystal system = trigonal
- DOS(E_F) (states/eV per cell) = 3.1


Entry 2:
DFT (GGA-PBE) results for a relaxed structure of LaCd2Fe.

Structure (POSCAR):
```
LaCd2Fe
1.0
-3.5564 -1.3562 1.4104
1.9346 -2.8755 2.1132
-0.0062 4.8132 10.4536
Cd La Fe
4 2 2
direct
0.5991 0.1250 0.2500
0.3750 0.4009 0.7500
0.8750 0.8491 0.7500
0.1509 0.6250 0.2500
0.0000 0.0000 0.0000
0.7500 0.2500 0.5000
0.2500 0.7500 0.5000
0.5000 0.5000 0.0000
```

Output
- symmetry = No. 122
- crystal system = tetragonal
- DOS(E_F) (states/eV per cell) = 6.5
- E_tot (eV/cell) = -27.2


Entry 3:
DFT (GGA-PBE) results for a relaxed structure of CoPIr2.

Structure (POSCAR):
```
CoPIr2
1.0
-2.5124 1.8892 1.6445
-1.7938 -0.6411 -2.0042
-2.3891 -4.6839 1.7309
Ir Co P
2 1 1
direct
0.5000 0.4286 0.2679
0.0000 0.0723 0.9814
0.5000 0.7148 0.6950
0.0000 0.2842 0.5556
```

Output
- symmetry = No. 38
- crystal system = orthorhombic
- DOS(E_F) (states/eV per cell) = 3.5
- E_tot (eV/cell) = -30.8


Entry 4:
DFT (GGA-PBE) results for a relaxed structure of YSnIN2.

Structure (POSCAR):
```
YSnIN2
1.0
4.5189 0.0000 0.0000
0.0000 4.5189 0.0000
0.0000 0.0000 6.0309
N Sn Y I
2 1 1 1
direct
0.0000 0.5000 0.0000
0.5000 0.0000 0.0000
0.5000 0.5000 0.5000
0.0000 0.0000 0.0000
0.0000 0.0000 0.5000
```

Output
- symmetry = No. 123
- energy relative to the elements, uncorrected (kJ per mole of atoms) = 60.5
- crystal system = tetragonal
- DOS(E_F) (states/eV per cell) = 3.0


Entry 5:
DFT (GGA-PBE) results for a relaxed structure of CaZrV2H.

Structure (POSCAR):
```
CaZrV2H
1.0
-0.3416 4.5416 1.0573
-4.5138 -0.0560 -1.2177
-1.5635 -1.4827 5.8639
H Zr V Ca
1 1 2 1
direct
0.5000 0.5000 0.5000
0.0000 0.0000 0.0000
0.0000 0.5000 0.0000
0.5000 0.0000 0.0000
0.0000 0.0000 0.5000
```

Output
- symmetry = No. 123
- crystal system = tetragonal
- DOS(E_F) (states/eV per cell) = 6.1
- E_tot (eV/cell) = -23.4


Entry 6:
DFT (GGA-PBE) results for a relaxed structure of LaF.

Structure (POSCAR):
```
LaF
1.0
4.2688 0.0000 -0.7126
0.0000 5.4811 0.0000
-1.5215 0.0000 4.0570
F La
2 2
direct
0.6672 0.7500 0.8337
0.3328 0.2500 0.1663
0.6657 0.2500 0.8328
0.3343 0.7500 0.1672
```

Output
- symmetry = No. 63
- energy relative to the elements, uncorrected (kJ per mole of atoms) = -235.9
- crystal system = orthorhombic
- DOS(E_F) (states/eV per cell) = 1.6